VASP calculation (PBE+U) on a relaxed structure of Fe3B7ClO13.

```
data_Fe3B7ClO13
_chemical_formula_sum 'Fe18 B42 Cl6 O78'
_space_group_name_H-M_alt 'R 3 c'
_space_group_IT_number 161
_space_group_name_Hall 'R 3 -2"c'
_cell_length_a 8.7238
_cell_length_b 8.7238
_cell_length_c 21.3190
_cell_angle_alpha 90.00
_cell_angle_beta 90.00
_cell_angle_gamma 120.00
loop_
_atom_site_label
_atom_site_fract_x
_atom_site_fract_y
_atom_site_fract_z
Fe1 0.0384 0.5185 0.0000
B1 0.0000 0.0000 0.1096
B2 0.0051 0.5010 0.2558
B3 0.0999 0.2026 0.4771
Cl1 0.0000 0.0000 0.2752
O1 0.0000 0.0000 0.4926
O2 0.0022 0.1593 0.6124
O3 0.0228 0.2258 0.9190
O4 0.0298 0.4454 0.6943
O5 0.0745 0.3789 0.1347
```

## Properties
* DOS(E_F): 0.0 states/eV/f.u.
* total magnetization: 72.000 μB per cell
* calculated total energy: -7.595 eV per atom